Entry 1:
# PuZrCoIr

An optimized crystal structure of PuZrCoIr (PBE, Alexandria via LeMat-Bulk).

a = 4.701 Å, b = 4.701 Å, c = 4.701 Å
α = 60.00°, β = 60.00°, γ = 60.00°
Atoms (fractional coordinates):
Pu  0.000  0.000  0.000
Zr  0.500  0.500  0.500
Co  0.750  0.750  0.750
Ir  0.250  0.250  0.250

Properties
- Space-group type: F-43m
- Total magnetic moment: 4.315 μB per cell
- Total energy: -40.052 eV for the cell shown
- ΔE_f: -0.30 eV/atom

=====

Entry 2:
# VGaI2N

An optimized crystal structure of VGaI2N (PBE, Alexandria via LeMat-Bulk).

a = 5.802 Å, b = 5.802 Å, c = 3.601 Å
α = 90.00°, β = 90.00°, γ = 90.00°
Atoms (fractional coordinates):
V  0.000  0.000  0.000
Ga  0.500  0.500  0.500
I  0.000  0.500  0.500
I  0.500  0.000  0.500
N  0.500  0.500  0.000

Properties
- Space-group type: P4/mmm
- Total magnetic moment: 2.984 μB per cell
- Total energy: -19.903 eV for the cell shown
- Formation energy from raw total energies: 70.78 kJ per mole of atoms
- Excess energy over the best structure of this formula in the dataset: 0.794 eV per atom

=====

Entry 3:
# YZrCl3

An optimized crystal structure of YZrCl3 (PBE, Alexandria via LeMat-Bulk).

a = 5.281 Å, b = 5.281 Å, c = 5.281 Å
α = 90.00°, β = 90.00°, γ = 90.00°
Atoms (fractional coordinates):
Y  0.000  0.000  0.000
Zr  0.500  0.500  0.500
Cl  0.000  0.000  0.500
Cl  0.000  0.500  0.000
Cl  0.500  0.000  0.000

Properties
- Space-group type: Pm-3m
- Total magnetic moment: 3.839 μB per cell
- Total energy: -23.873 eV for the cell shown
- Formation energy from raw total energies: -64.08 kJ per mole of atoms
- Excess energy over the best structure of this formula in the dataset: 0.022 eV per atom

=====

Entry 4:
# CsYS2

An optimized crystal structure of CsYS2 (PBE, Alexandria via LeMat-Bulk).

a = 8.477 Å, b = 8.477 Å, c = 8.477 Å
α = 27.98°, β = 27.98°, γ = 27.98°
Atoms (fractional coordinates):
Cs  0.000  0.000  0.000
Y  0.831  0.831  0.831
S  0.225  0.225  0.225
S  0.437  0.437  0.437

Properties
- Space-group type: R3m
- Total magnetic moment: 0.000 μB per cell
- Total energy: -22.860 eV for the cell shown
- Formation energy from raw total energies: -175.79 kJ per mole of atoms

=====

Entry 5:
# NdSe2

An optimized crystal structure of NdSe2 (PBE, Alexandria via LeMat-Bulk).

a = 4.161 Å, b = 4.161 Å, c = 8.629 Å
α = 90.00°, β = 90.00°, γ = 90.00°
Atoms (fractional coordinates):
Nd  0.250  0.250  0.226
Nd  0.750  0.750  0.774
Se  0.250  0.250  0.868
Se  0.250  0.750  0.500
Se  0.750  0.250  0.500
Se  0.750  0.750  0.132

Properties
- Space-group type: P4/nmm
- Total magnetic moment: 0.000 μB per cell
- Total energy: -33.168 eV for the cell shown
- Formation energy from raw total energies: -155.90 kJ per mole of atoms

=====

Entry 6:
# ZrTe2W

An optimized crystal structure of ZrTe2W (PBE, Alexandria via LeMat-Bulk).

a = 3.671 Å, b = 4.401 Å, c = 5.441 Å
α = 90.00°, β = 90.00°, γ = 90.00°
Atoms (fractional coordinates):
Zr  0.000  0.000  0.000
Te  0.000  0.500  0.500
Te  0.500  0.500  0.000
W  0.500  0.000  0.500

Properties
- Space-group type: Pmmm
- Total magnetic moment: 0.000 μB per cell
- Total energy: -25.802 eV for the cell shown
- Formation energy from raw total energies: 47.83 kJ per mole of atoms
- Excess energy over the best structure of this formula in the dataset: 0.624 eV per atom

=====

Entry 7:
# BaSi12Pt7

An optimized crystal structure of BaSi12Pt7 (PBE, Alexandria via LeMat-Bulk).

a = 8.312 Å, b = 8.312 Å, c = 8.312 Å
α = 114.20°, β = 114.20°, γ = 114.20°
Atoms (fractional coordinates):
Ba  0.000  0.000  0.000
Si  0.045  0.371  0.950
Si  0.050  0.955  0.629
Si  0.181  0.453  0.545
Si  0.371  0.950  0.045
Si  0.453  0.545  0.181
Si  0.455  0.819  0.547
Si  0.545  0.181  0.453
Si  0.547  0.455  0.819
Si  0.629  0.050  0.955
Si  0.819  0.547  0.455
Si  0.950  0.045  0.371
Si  0.955  0.629  0.050
Pt  0.005  0.482  0.251
Pt  0.251  0.005  0.482
Pt  0.482  0.251  0.005
Pt  0.500  0.500  0.500
Pt  0.518  0.749  0.995
Pt  0.749  0.995  0.518
Pt  0.995  0.518  0.749

Properties
- Space-group type: R-3
- Total magnetic moment: 0.000 μB per cell
- Total energy: -117.932 eV for the cell shown
- Formation energy from raw total energies: -41.72 kJ per mole of atoms

=====

Entry 8:
# HfBeCrPt2

An optimized crystal structure of HfBeCrPt2 (PBE, Alexandria via LeMat-Bulk).

a = 4.874 Å, b = 4.874 Å, c = 4.517 Å
α = 90.00°, β = 90.00°, γ = 90.00°
Atoms (fractional coordinates):
Hf  0.000  0.000  0.000
Be  0.000  0.000  0.500
Cr  0.500  0.500  0.500
Pt  0.000  0.500  0.000
Pt  0.500  0.000  0.000

Properties
- Space-group type: P4/mmm
- Total magnetic moment: 0.056 μB per cell
- Total energy: -28.102 eV for the cell shown
- ΔE_f: 1.46 eV/atom
- Excess energy over the best structure of this formula in the dataset: 1.067 eV per atom

=====

Entry 9:
# Zr4Zn3Cr

An optimized crystal structure of Zr4Zn3Cr (PBE, Alexandria via LeMat-Bulk).

a = 3.320 Å, b = 3.320 Å, c = 13.309 Å
α = 90.00°, β = 90.00°, γ = 90.00°
Atoms (fractional coordinates):
Zr  0.000  0.000  0.116
Zr  0.000  0.000  0.372
Zr  0.000  0.000  0.628
Zr  0.000  0.000  0.884
Zn  0.500  0.500  0.246
Zn  0.500  0.500  0.500
Zn  0.500  0.500  0.754
Cr  0.500  0.500  0.000

Properties
- Space-group type: P4/mmm
- Total magnetic moment: 0.796 μB per cell
- Total energy: -48.982 eV for the cell shown
- ΔE_f: -0.17 eV/atom

=====

Entry 10:
# Tb3Dy4Er5

An optimized crystal structure of Tb3Dy4Er5 (PBE, Alexandria via LeMat-Bulk).

a = 8.448 Å, b = 8.448 Å, c = 9.194 Å
α = 114.61°, β = 114.61°, γ = 40.40°
Atoms (fractional coordinates):
Tb  0.000  0.000  0.000
Tb  0.291  0.291  0.767
Tb  0.709  0.709  0.233
Dy  0.287  0.287  0.121
Dy  0.418  0.418  0.559
Dy  0.582  0.582  0.441
Dy  0.713  0.713  0.879
Er  0.073  0.073  0.699
Er  0.173  0.173  0.386
Er  0.500  0.500  0.000
Er  0.827  0.827  0.614
Er  0.927  0.927  0.301

Properties
- Space-group type: C2/m
- Total magnetic moment: 0.450 μB per cell
- Total energy: -52.182 eV for the cell shown
- ΔE_f: 0.24 eV/atom
- Excess energy over the best structure of this formula in the dataset: 0.226 eV per atom

=====

Entry 11:
# RbTeAuBr6

An optimized crystal structure of RbTeAuBr6 (PBE, Alexandria via LeMat-Bulk).

a = 7.099 Å, b = 7.554 Å, c = 7.587 Å
α = 108.33°, β = 100.81°, γ = 102.52°
Atoms (fractional coordinates):
Rb  0.000  0.000  0.000
Te  0.444  0.468  0.578
Au  0.765  0.603  0.179
Br  0.136  0.503  0.357
Br  0.214  0.198  0.654
Br  0.441  0.780  0.880
Br  0.500  0.190  0.282
Br  0.707  0.772  0.487
Br  0.817  0.458  0.863

Properties
- Space-group type: P1
- Total magnetic moment: 0.000 μB per cell
- Total energy: -22.921 eV for the cell shown
- Formation energy from raw total energies: -58.93 kJ per mole of atoms

=====

Entry 12:
# BaAl2Rh

An optimized crystal structure of BaAl2Rh (PBE, Alexandria via LeMat-Bulk).

a = 5.583 Å, b = 5.583 Å, c = 5.583 Å
α = 138.02°, β = 112.99°, γ = 82.30°
Atoms (fractional coordinates):
Ba  0.000  0.000  0.000
Al  0.330  0.830  0.500
Al  0.670  0.170  0.500
Rh  0.500  0.500  0.000

Properties
- Space-group type: Immm
- Total magnetic moment: 0.000 μB per cell
- Total energy: -17.262 eV for the cell shown
- ΔE_f: -0.13 eV/atom

=====

Number 8 is which compound?
HfBeCrPt2